Entry w
TcTe2PbN | GGA-PBE | relaxed

* calculated volume: 118.0 Å³/cell
* space group: P4/mmm

POSCAR file:
```
TcTe2PbN
1.0
-5.452 0.860 0.980
-0.263 -4.852 2.796
0.855 1.790 3.187
Pb Te Tc N
1 2 1 1
direct
0.500 0.500 0.500
0.000 0.500 0.000
0.500 0.000 0.000
0.000 0.000 0.000
0.000 0.000 0.500
```

---

Entry x
TcTe2PbN | GGA-PBE | relaxed

* calculated volume: 145.9 Å³/cell
* space group: P4/mmm

POSCAR file:
```
TcTe2PbN
1.0
5.896 0.000 0.000
0.000 5.896 0.000
0.000 0.000 4.198
Pb Te Tc N
1 2 1 1
direct
0.000 0.000 0.000
0.000 0.500 0.000
0.500 0.000 0.000
0.500 0.500 0.500
0.000 0.000 0.500
```

---

Which of them is the least stable? Correct choice: entry x.

---

Entry w
TcTePbN2 | GGA-PBE | relaxed

* calculated volume: 97.9 Å³/cell
* space group: P4/mmm

POSCAR file:
```
TcTePbN2
1.0
4.099 0.000 0.000
0.000 4.099 0.000
0.000 0.000 5.826
Pb Te Tc N
1 1 1 2
direct
0.500 0.500 0.500
0.000 0.000 0.500
0.000 0.000 0.000
0.000 0.500 0.000
0.500 0.000 0.000
```

---

Entry x
TcTePbN2 | GGA-PBE | relaxed

* calculated volume: 123.0 Å³/cell
* space group: P4/mmm

POSCAR file:
```
TcTePbN2
1.0
4.383 0.000 0.000
0.000 4.383 0.000
0.000 0.000 6.402
Pb Te Tc N
1 1 1 2
direct
0.000 0.000 0.000
0.000 0.000 0.500
0.500 0.500 0.500
0.000 0.500 0.000
0.500 0.000 0.000
```

---

Which of them is the least stable? Correct choice: entry x.

---

Entry w
Te2PbN2 | GGA-PBE | relaxed

* calculated volume: 165.8 Å³/cell
* space group: P4/mmm

POSCAR file:
```
Te2PbN2
1.0
6.049 0.000 0.000
0.000 6.049 0.000
0.000 0.000 4.531
Pb Te N
1 2 2
direct
0.000 0.000 0.000
0.000 0.500 0.000
0.500 0.000 0.000
0.500 0.500 0.500
0.000 0.000 0.500
```

---

Entry x
Te2PbN2 | GGA-PBE | relaxed

* calculated volume: 130.3 Å³/cell
* space group: P4/mmm

POSCAR file:
```
Te2PbN2
1.0
-0.322 -1.307 -4.279
0.589 -4.265 1.259
-6.402 -0.681 0.689
Pb Te N
1 2 2
direct
0.000 0.000 0.000
0.500 0.500 0.500
0.000 0.000 0.500
0.000 0.500 0.000
0.500 0.000 0.000
```

---

Entry y
Te2PbN2 | GGA-PBE | relaxed

* calculated volume: 113.7 Å³/cell
* space group: P4/mmm

POSCAR file:
```
Te2PbN2
1.0
-3.483 2.533 -0.029
-1.076 -1.434 3.917
3.263 4.516 2.549
Pb Te N
1 2 2
direct
0.500 0.500 0.500
0.000 0.000 0.000
0.000 0.000 0.500
0.000 0.500 0.000
0.500 0.000 0.000
```

---

Entry z
Te2PbN2 | GGA-PBE | relaxed

* calculated volume: 103.5 Å³/cell
* space group: P4/mmm

POSCAR file:
```
Te2PbN2
1.0
4.766 0.000 0.000
0.000 4.766 0.000
0.000 0.000 4.555
Pb Te N
1 2 2
direct
0.500 0.500 0.500
0.000 0.500 0.000
0.500 0.000 0.000
0.000 0.000 0.000
0.000 0.000 0.500
```

---

Which of them is the least stable? Correct choice: entry w.

---

Entry w
TePbN | GGA-PBE | relaxed

* calculated volume: 140.9 Å³/cell
* space group: Cm

POSCAR file:
```
TePbN
1.0
3.864 0.100 -0.517
2.017 3.298 -0.517
0.799 0.461 11.095
N Pb Te
2 2 2
direct
0.823 0.823 0.405
0.816 0.816 0.917
0.509 0.509 0.301
0.153 0.153 0.009
0.293 0.293 0.548
0.666 0.666 0.743
```

---

Entry x
TePbN | GGA-PBE | relaxed

* calculated volume: 466.8 Å³/cell
* space group: P2_1/c

POSCAR file:
```
TePbN
1.0
4.644 0.000 0.000
0.000 9.215 -1.095
0.000 -0.725 10.995
Te Pb N
4 4 4
direct
0.750 0.341 0.344
0.250 0.159 0.656
0.250 0.659 0.656
0.750 0.841 0.344
0.750 0.402 0.625
0.250 0.098 0.375
0.250 0.598 0.375
0.750 0.902 0.625
0.430 0.012 0.042
0.930 0.488 0.958
0.570 0.988 0.958
0.070 0.512 0.042
```

---

Which of them is the least stable? Correct choice: entry w.

---

Entry w
VTe2PbN | GGA-PBE | relaxed

* calculated volume: 116.4 Å³/cell
* space group: P4/mmm

POSCAR file:
```
VTe2PbN
1.0
-5.138 2.155 -0.673
-0.059 -1.801 -5.315
-1.487 -3.200 1.101
Pb N Te V
1 1 2 1
direct
0.500 0.500 0.500
0.000 0.000 0.500
0.000 0.500 0.000
0.500 0.000 0.000
0.000 0.000 0.000
```

---

Entry x
VTe2PbN | GGA-PBE | relaxed

* calculated volume: 145.3 Å³/cell
* space group: P4/mmm

POSCAR file:
```
VTe2PbN
1.0
5.884 0.000 0.000
0.000 5.884 0.000
0.000 0.000 4.196
Pb N Te V
1 1 2 1
direct
0.000 0.000 0.000
0.000 0.000 0.500
0.000 0.500 0.000
0.500 0.000 0.000
0.500 0.500 0.500
```

---

Which of them is the least stable? Correct choice: entry x.

---

Entry w
Te2PbWN | GGA-PBE | relaxed

* calculated volume: 120.6 Å³/cell
* space group: P4/mmm

POSCAR file:
```
Te2PbWN
1.0
-2.028 1.303 5.041
3.388 -3.778 2.340
2.732 2.699 0.402
Pb Te W N
1 2 1 1
direct
0.500 0.500 0.500
0.000 0.500 0.000
0.500 0.000 0.000
0.000 0.000 0.000
0.000 0.000 0.500
```

---

Entry x
Te2PbWN | GGA-PBE | relaxed

* calculated volume: 140.2 Å³/cell
* space group: P4/mmm

POSCAR file:
```
Te2PbWN
1.0
-3.116 4.505 -1.984
-0.787 -2.774 -5.062
-3.445 -1.729 1.483
Pb Te W N
1 2 1 1
direct
0.000 0.000 0.000
0.000 0.500 0.000
0.500 0.000 0.000
0.500 0.500 0.500
0.000 0.000 0.500
```

---

Which of them is the least stable? Correct choice: entry x.

---

Entry w
YTe2PbN | GGA-PBE | relaxed

* calculated volume: 157.6 Å³/cell
* space group: P4/mmm

POSCAR file:
```
YTe2PbN
1.0
5.991 0.000 0.000
0.000 5.991 0.000
0.000 0.000 4.391
Pb Y Te N
1 1 2 1
direct
0.500 0.500 0.500
0.000 0.000 0.000
0.000 0.500 0.000
0.500 0.000 0.000
0.000 0.000 0.500
```

---

Entry x
YTe2PbN | GGA-PBE | relaxed

* calculated volume: 145.5 Å³/cell
* space group: P4/mmm

POSCAR file:
```
YTe2PbN
1.0
-0.538 3.065 -4.986
3.959 -3.497 -2.577
-3.090 -2.576 -1.251
Pb Y Te N
1 1 2 1
direct
0.000 0.000 0.000
0.500 0.500 0.500
0.000 0.500 0.000
0.500 0.000 0.000
0.000 0.000 0.500
```

---

Which of them is the least stable? Correct choice: entry x.

---

Entry w
ZnTe2PbN | GGA-PBE | relaxed

* calculated volume: 154.7 Å³/cell
* space group: P4/mmm

POSCAR file:
```
ZnTe2PbN
1.0
-0.350 2.632 -5.334
-5.891 -0.895 -0.055
-0.604 3.855 1.941
Pb Zn Te N
1 1 2 1
direct
0.000 0.000 0.000
0.500 0.500 0.500
0.000 0.500 0.000
0.500 0.000 0.000
0.000 0.000 0.500
```

---

Entry x
ZnTe2PbN | GGA-PBE | relaxed

* calculated volume: 129.3 Å³/cell
* space group: P4/mmm

POSCAR file:
```
ZnTe2PbN
1.0
5.939 0.000 0.000
0.000 5.939 0.000
0.000 0.000 3.667
Pb Zn Te N
1 1 2 1
direct
0.500 0.500 0.500
0.000 0.000 0.000
0.000 0.500 0.000
0.500 0.000 0.000
0.000 0.000 0.500
```

---

Which of them is the least stable? Correct choice: entry w.